Density functional theory data (PBE-GGA) for a relaxed BaCuAg2F8 crystal.

abc: 6.0642 6.0642 9.7343
angles: 90.00 90.00 90.00
Last column: nearest neighbours and their distance in Å.
Space group I-4 (No. 82)
One atom of each set of equivalent atoms:
Ba 0.0000 0.0000 0.0000 x2  8 F 2.72-2.77
Cu 0.0000 0.5000 0.7500 x2  4 F 1.89
Ag 0.0000 0.0000 0.5000 x2  4 F 2.02
Ag 0.0000 0.5000 0.2500 x2  8 F 2.57-2.62
F 0.0898 0.3199 0.4829 x8  1 Ag 2.02
F 0.1276 0.2169 0.7628 x8  1 Cu 1.89

=====

Density functional theory data (PBE-GGA) for a relaxed Ba2CuAgF6 crystal.

abc: 5.4719 6.2944 6.7876
angles: 100.12 110.92 112.16
Last column: nearest neighbours and their distance in Å.
Space group P-1 (No. 2)
One atom of each set of equivalent atoms:
Ba 0.0419 0.2359 0.2898 x2  6 F 2.58-2.75
Cu 0.5000 0.0000 0.5000 x1  2 F 1.86
Ag 0.5000 0.5000 0.0000 x1  6 F 2.33-2.61
F 0.0175 0.2087 0.8995 x2  1 Ag 2.33, 1 Ba 2.58
F 0.3341 0.1337 0.6477 x2  1 Cu 1.86
F 0.3670 0.6372 0.6587 x2  1 Ag 2.57, 2 Ba 2.65-2.75, 1 Cu 2.66

=====

Density functional theory data (PBE-GGA) for a relaxed Ba2MgCuAg2F14 crystal.

abc: 5.3249 7.5629 15.5544
angles: 87.80 86.47 69.83
Last column: nearest neighbours and their distance in Å.
Space group P-1 (No. 2)
One atom of each set of equivalent atoms:
Ba 0.1091 0.1256 0.1190 x2  8 F 2.70-2.97
Ba 0.2772 0.1213 0.6280 x2  8 F 2.64-2.94
Mg 0.4386 0.4580 0.2358 x2  6 F 2.02-2.23
Cu 0.5000 0.5000 0.0000 x1  4 F 1.91-1.95
Cu 0.5000 0.5000 0.5000 x1  4 F 1.80-1.83
Ag 0.0915 0.2740 0.3685 x2  6 F 2.10-2.26
Ag 0.1561 0.2733 0.8736 x2  6 F 2.10-2.20
F 0.0272 0.1296 0.7806 x2  1 Ag 2.12
F 0.1177 0.4668 0.1661 x2  1 Mg 2.06, 1 Ag 2.10
F 0.1393 0.9896 0.3934 x2  1 Ag 2.10
F 0.1415 0.5353 0.3306 x2  1 Mg 2.04, 1 Ag 2.14
F 0.1506 0.6575 0.5050 x2  1 Cu 1.83
F 0.1780 0.7467 0.0420 x2  1 Cu 2.14, 1 Ag 2.19
F 0.2022 0.7121 0.7248 x2  1 Mg 2.02, 1 Ag 2.17
F 0.2687 0.3558 0.9951 x2  1 Cu 1.91
F 0.3589 0.0000 0.9198 x2  1 Ag 2.10
F 0.3838 0.5995 0.8862 x2  1 Cu 1.95, 1 Mg 2.06
F 0.3914 0.1787 0.2593 x2  1 Ag 2.22, 1 Mg 2.23
F 0.4137 0.2114 0.4551 x2  1 Ag 2.16
F 0.4333 0.4170 0.6059 x2  1 Cu 1.80
F 0.4634 0.3032 0.7785 x2  1 Mg 2.05, 1 Ag 2.20

=====

Density functional theory data (PBE-GGA) for a relaxed BaGa2CuAg crystal.

abc: 4.8039 4.8039 5.1768
angles: 90.00 90.00 90.00
Last column: nearest neighbours and their distance in Å.
Space group P4/mmm (No. 123)
One atom of each set of equivalent atoms:
Ba 0.0000 0.0000 0.0000 x1  4 Ag 3.40, 8 Ga 3.53
Ga 0.0000 0.5000 0.5000 x2  2 Cu 2.40
Cu 0.5000 0.5000 0.5000 x1  4 Ga 2.40, 2 Ag 2.59
Ag 0.5000 0.5000 0.0000 x1  2 Cu 2.59

Computed properties:
- Calculated formation energy: -0.126 eV/atom

=====

Density functional theory data (PBE-GGA) for a relaxed BaCuAgHg2 crystal.

abc: 5.1549 5.1549 5.1648
angles: 90.00 90.00 90.00
Last column: nearest neighbours and their distance in Å.
Space group P4/mmm (No. 123)
One atom of each set of equivalent atoms:
Ba 0.0000 0.0000 0.0000 x1  4 Ag 3.65, 8 Hg 3.65
Cu 0.5000 0.5000 0.5000 x1  4 Hg 2.58, 2 Ag 2.58
Ag 0.5000 0.5000 0.0000 x1  2 Cu 2.58
Hg 0.0000 0.5000 0.5000 x2  2 Cu 2.58

Computed properties:
- Calculated formation energy: -0.152 eV/atom

=====

Density functional theory data (PBE-GGA) for a relaxed Ba2CuAgHg crystal.

abc: 6.1155 6.1155 4.9125
angles: 90.00 90.00 90.00
Last column: nearest neighbours and their distance in Å.
Space group P4/mmm (No. 123)
One atom of each set of equivalent atoms:
Ba 0.0000 0.5000 0.0000 x2  2 Cu 3.06
Cu 0.0000 0.0000 0.0000 x1  2 Ag 2.46
Ag 0.0000 0.0000 0.5000 x1  2 Cu 2.46
Hg 0.5000 0.5000 0.5000 x1  8 Ba 3.92, 4 Ag 4.32

Computed properties:
- Calculated formation energy: -0.098 eV/atom

=====

Density functional theory data (PBE-GGA) for a relaxed Ba2In6CuAg crystal.

abc: 7.1605 7.1681 7.8700
angles: 63.64 63.06 60.13
Last column: nearest neighbours and their distance in Å.
Space group P-1 (No. 2)
One atom of each set of equivalent atoms:
Ba 0.2077 0.2073 0.3763 x2  12 In 3.79-4.06, 1 Cu 4.20, 3 Ag 4.21-4.23
In 0.2403 0.2502 0.8335 x2  1 Cu 2.61, 1 Ag 2.88
In 0.2513 0.6717 0.8373 x2  1 Cu 2.60, 1 Ag 2.86
In 0.3231 0.7624 0.1673 x2  1 Cu 2.61, 1 Ag 2.87
Cu 0.0000 0.0000 0.0000 x1  6 In 2.60-2.61
Ag 0.5000 0.5000 0.5000 x1  6 In 2.86-2.88

Computed properties:
- Calculated formation energy: -0.206 eV/atom

=====

Density functional theory data (PBE-GGA) for a relaxed BaInCuAg2 crystal.

abc: 5.1652 5.1652 4.9745
angles: 90.00 90.00 90.00
Last column: nearest neighbours and their distance in Å.
Space group P4/mmm (No. 123)
One atom of each set of equivalent atoms:
Ba 0.0000 0.0000 0.0000 x1  8 Ag 3.59, 4 In 3.65
In 0.5000 0.5000 0.0000 x1  2 Cu 2.49
Cu 0.5000 0.5000 0.5000 x1  2 In 2.49, 4 Ag 2.58
Ag 0.0000 0.5000 0.5000 x2  2 Cu 2.58

Computed properties:
- Calculated formation energy: -0.051 eV/atom

=====

Density functional theory data (PBE-GGA) for a relaxed BaCuAgIr2 crystal.

abc: 5.1568 5.1568 5.6373
angles: 90.00 90.00 90.00
Last column: nearest neighbours and their distance in Å.
Space group P4/mmm (No. 123)
One atom of each set of equivalent atoms:
Ba 0.0000 0.0000 0.0000 x1  4 Ir 2.58, 2 Ag 2.82
Cu 0.5000 0.5000 0.5000 x1  4 Ag 3.65, 8 Ir 3.82
Ag 0.0000 0.0000 0.5000 x1  2 Ba 2.82
Ir 0.0000 0.5000 0.0000 x2  2 Ba 2.58

Computed properties:
- Calculated formation energy: 2.415 eV/atom

=====

Density functional theory data (PBE-GGA) for a relaxed BaLiCuAg2 crystal.

abc: 5.1434 5.1434 4.7511
angles: 90.00 90.00 90.00
Last column: nearest neighbours and their distance in Å.
Space group P4/mmm (No. 123)
One atom of each set of equivalent atoms:
Ba 0.0000 0.0000 0.0000 x1  8 Ag 3.50, 4 Li 3.64
Li 0.5000 0.5000 0.0000 x1  2 Cu 2.38
Cu 0.5000 0.5000 0.5000 x1  2 Li 2.38, 4 Ag 2.57
Ag 0.0000 0.5000 0.5000 x2  2 Cu 2.57

Computed properties:
- Calculated formation energy: -0.012 eV/atom

=====

Density functional theory data (PBE-GGA) for a relaxed BaLi2CuAg crystal.

abc: 4.9443 4.9443 5.1992
angles: 90.00 90.00 90.00
Last column: nearest neighbours and their distance in Å.
Space group P4/mmm (No. 123)
One atom of each set of equivalent atoms:
Ba 0.0000 0.0000 0.0000 x1  4 Ag 3.50, 8 Li 3.59
Li 0.0000 0.5000 0.5000 x2  2 Cu 2.47
Cu 0.5000 0.5000 0.5000 x1  4 Li 2.47, 2 Ag 2.60
Ag 0.5000 0.5000 0.0000 x1  2 Cu 2.60

Computed properties:
- Calculated formation energy: 0.029 eV/atom

=====

Density functional theory data (PBE-GGA) for a relaxed BaLi2CuAg crystal.

abc: 4.9954 4.9954 5.1814
angles: 90.00 90.00 90.00
Last column: nearest neighbours and their distance in Å.
Space group P4/mmm (No. 123)
One atom of each set of equivalent atoms:
Ba 0.0000 0.0000 0.0000 x1  4 Cu 3.53, 8 Li 3.60
Li 0.0000 0.5000 0.5000 x2  2 Ag 2.50
Cu 0.5000 0.5000 0.0000 x1  2 Ag 2.59
Ag 0.5000 0.5000 0.5000 x1  4 Li 2.50, 2 Cu 2.59

Computed properties:
- Calculated formation energy: 0.052 eV/atom

=====

Density functional theory data (PBE-GGA) for a relaxed Ba2CuAgN crystal.

abc: 5.8250 5.8250 3.7768
angles: 90.00 90.00 90.00
Last column: nearest neighbours and their distance in Å.
Space group P4/mmm (No. 123)
One atom of each set of equivalent atoms:
Ba 0.0000 0.5000 0.0000 x2  2 N 2.91
Cu 0.0000 0.0000 0.5000 x1  2 N 1.89
Ag 0.5000 0.5000 0.5000 x1  8 Ba 3.47, 2 Ag 3.78
N 0.0000 0.0000 0.0000 x1  2 Cu 1.89

=====

Density functional theory data (PBE-GGA) for a relaxed Ba2CuAgN crystal.

abc: 7.1575 4.2878 9.5037
angles: 90.00 110.03 90.00
Last column: nearest neighbours and their distance in Å.
Space group P2_1/m (No. 11)
One atom of each set of equivalent atoms:
Ba 0.1932 0.2500 0.3696 x2  2 N 2.86
Ba 0.2118 0.2500 0.9686 x2  3 N 2.64-2.92
Cu 0.4561 0.7500 0.2500 x2  1 N 1.88
Ag 0.3233 0.7500 0.6940 x2  2 Cu 2.61
N 0.1776 0.7500 0.1674 x2  1 Cu 1.88

=====

Density functional theory data (PBE-GGA) for a relaxed BaNaCuAg2 crystal.

abc: 5.1759 5.1759 5.0986
angles: 90.00 90.00 90.00
Last column: nearest neighbours and their distance in Å.
Space group P4/mmm (No. 123)
One atom of each set of equivalent atoms:
Ba 0.0000 0.0000 0.0000 x1  8 Ag 3.63, 4 Na 3.66
Na 0.5000 0.5000 0.0000 x1  2 Cu 2.55
Cu 0.5000 0.5000 0.5000 x1  2 Na 2.55, 4 Ag 2.59
Ag 0.0000 0.5000 0.5000 x2  2 Cu 2.59

Computed properties:
- Calculated formation energy: 0.062 eV/atom

=====

Density functional theory data (PBE-GGA) for a relaxed Ba2CuNiAg crystal.

abc: 5.8856 5.8856 4.5726
angles: 90.00 90.00 90.00
Last column: nearest neighbours and their distance in Å.
Space group P4/mmm (No. 123)
One atom of each set of equivalent atoms:
Ba 0.0000 0.5000 0.0000 x2  2 Ni 2.94
Cu 0.0000 0.0000 0.5000 x1  2 Ni 2.29
Ni 0.0000 0.0000 0.0000 x1  2 Cu 2.29
Ag 0.5000 0.5000 0.5000 x1  8 Ba 3.73, 4 Cu 4.16

Computed properties:
- Calculated formation energy: 0.057 eV/atom

=====

Density functional theory data (PBE-GGA) for a relaxed BaCuNi2Ag crystal.

abc: 4.9473 4.9473 5.3962
angles: 90.00 90.00 90.00
Last column: nearest neighbours and their distance in Å.
Space group P4/mmm (No. 123)
One atom of each set of equivalent atoms:
Ba 0.0000 0.0000 0.0000 x1  4 Ni 2.47, 2 Cu 2.70
Cu 0.0000 0.0000 0.5000 x1  2 Ba 2.70
Ni 0.0000 0.5000 0.0000 x2  2 Ba 2.47
Ag 0.5000 0.5000 0.5000 x1  4 Cu 3.50, 8 Ni 3.66

Computed properties:
- Calculated formation energy: 1.696 eV/atom

=====

Density functional theory data (PBE-GGA) for a relaxed BaCu2Ag2O4 crystal.

abc: 6.5633 6.5633 6.9706
angles: 90.00 90.00 90.00
Last column: nearest neighbours and their distance in Å.
Space group P4/nbm (No. 125, origin choice 2)
One atom of each set of equivalent atoms:
Ba 0.2500 0.2500 0.0000 x2  8 O 2.80
Cu 0.2500 0.7500 0.2417 x4  2 O 1.80
Ag 0.0000 0.0000 0.5000 x4  2 O 2.07
O 0.0576 0.5576 0.2126 x8  1 Cu 1.80

=====

Density functional theory data (PBE-GGA) for a relaxed BaCuAgO2 crystal.

abc: 6.0649 12.3892 4.4879
angles: 90.00 90.00 90.00
Last column: nearest neighbours and their distance in Å.
Space group Cmme (No. 67)
One atom of each set of equivalent atoms:
Ba 0.0000 0.2500 0.2351 x4  4 O 2.66-2.75
Cu 0.0000 0.0000 0.5000 x4  2 O 1.87
Ag 0.2500 0.0000 0.0000 x4  4 O 2.52, 4 Cu 2.71
O 0.0000 0.1275 0.7231 x8  1 Cu 1.87

=====

Computed values of VASP energy (unit: eV/atom) for the preceding records, in sequence: -4.075 -4.824 -4.387 -3.111 -2.047 -2.317 -2.929 -2.943 -2.904 -2.739 -2.510 -2.488 -4.052 -4.060 -2.546 -3.258 -2.390 -4.767 -4.880.